# SrCe2Te4 PBE optimized geometry
data_SrCe2Te4
_cell_length_a 9.202
_cell_length_b 9.202
_cell_length_c 9.202
_cell_angle_alpha 119.70
_cell_angle_beta 119.29
_cell_angle_gamma 90.88
_symmetry_space_group_name_H-M 'P 1'
_symmetry_Int_Tables_number 1
_symmetry_space_group_name_Hall 'P 1'
loop_
_atom_site_label
_atom_site_type_symbol
_atom_site_fract_x
_atom_site_fract_y
_atom_site_fract_z
_atom_site_occupancy
Sr1 Sr 0.000 0.000 0.000 1
Sr2 Sr 0.500 0.000 0.500 1
Ce1 Ce 0.000 0.500 0.500 1
Ce2 Ce 0.500 0.000 0.000 1
Ce3 Ce 0.500 0.500 0.000 1
Ce4 Ce 0.500 0.500 0.500 1
Te1 Te 0.251 0.260 0.509 1
Te2 Te 0.251 0.741 0.991 1
Te3 Te 0.259 0.744 0.514 1
Te4 Te 0.270 0.256 0.014 1
Te5 Te 0.730 0.744 0.986 1
Te6 Te 0.741 0.256 0.486 1
Te7 Te 0.749 0.259 0.009 1
Te8 Te 0.749 0.740 0.491 1
# Mass density   5.3 Mg/m³
# Energy relative to the lowest polymorph listed for this composition   0 meV/atom
# Uncorrected formation energy   -1.429 eV/atom
# DOS at the Fermi energy   2.080 states/eV per atom
# Crystal system   orthorhombic